Below is Tm3Al2ZnCuAu2 after structural relaxation, with properties calculated at the PBE level. Values from VASP.

```
&SYSTEM
  ibrav = 0, nat = 9, ntyp = 5
/
ATOMIC_SPECIES
Al 26.98 Al.upf
Au 196.97 Au.upf
Cu 63.55 Cu.upf
Tm 168.93 Tm.upf
Zn 65.41 Zn.upf
CELL_PARAMETERS angstrom
3.9991 0.0000 0.0000
0.0000 6.1796 3.5988
0.0000 -6.1796 3.5988
ATOMIC_POSITIONS angstrom
Al 1.9995 1.4166 0.8392
Al 1.9995 -1.4166 0.8392
Au 1.9995 2.1046 3.5731
Au 1.9995 -2.1046 3.5731
Cu 0.0000 0.0000 0.0577
Tm 0.0000 0.0000 2.9527
Tm 0.0000 2.4781 5.7217
Tm 0.0000 -2.4781 5.7217
Zn 1.9995 0.0000 5.5121
```

**Space-group type**: No. 38
**Volume**: 19.76 A^3/atom
**Energy**: -4.27 eV/atom